Record 1
Compound: FeMo2Os
Source: Alexandria
Functional: PBE
Structure: relaxed

Geometry as extended XYZ:
```
4
Lattice="3.8528 0.0000 0.0000 0.0000 3.8528 0.0000 0.0000 0.0000 3.8683" Properties=species:S:1:pos:R:3 pbc="T T T"
Fe 0.0000 0.0000 0.0000
Mo 0.0000 1.9264 1.9341
Mo 1.9264 0.0000 1.9341
Os 1.9264 1.9264 0.0000
```

## Properties
As for the space group: P4/mmm, No. 123.

=====

Record 2
Compound: FeMoOs2
Source: Alexandria
Functional: PBE
Structure: relaxed

Geometry as extended XYZ:
```
4
Lattice="4.4993 -1.3650 0.0000 4.4993 1.3650 0.0000 -0.7885 0.0000 4.6133" Properties=species:S:1:pos:R:3 pbc="T T T"
Fe 0.0000 0.0000 0.0000
Mo 6.5943 0.0000 1.1479
Os 1.6652 0.0000 3.4519
Os 4.1522 0.0000 2.4190
```

## Properties
As for the space group: Cm, No. 8.

=====

Record 3
Compound: FeMo3Os
Source: Alexandria
Functional: PBE
Structure: relaxed

Geometry as extended XYZ:
```
5
Lattice="4.3758 0.0000 0.0000 0.0000 4.3758 0.0000 0.0000 0.0000 4.3758" Properties=species:S:1:pos:R:3 pbc="T T T"
Fe 0.0000 0.0000 0.0000
Mo 0.0000 0.0000 2.1879
Mo 0.0000 2.1879 0.0000
Mo 2.1879 0.0000 0.0000
Os 2.1879 2.1879 2.1879
```

## Properties
As for the space group: Pm-3m, No. 221.

=====

Energy: -40.96 -41.20 -45.73 (eV per formula unit)
DOS(E_F): 3.352 3.512 6.101 (states/eV/cell)
DFT formation energy: 0.0974 0.1374 1.2907 (eV/atom)